Computed, not measured: a relaxed Be3VPd crystal at the PBE level of DFT.

a = 4.1481 Å, b = 4.1481 Å, c = 4.1481 Å
α = 90.00°, β = 90.00°, γ = 90.00°
Sites, in units of the cell vectors:
Be  0.0000  0.0000  0.5000
Be  0.0000  0.5000  0.0000
Be  0.5000  0.0000  0.0000
V  0.5000  0.5000  0.5000
Pd  0.0000  0.0000  0.0000

Summary:
- energy of formation from the pure elements (eV/atom) = 0.54
- volume (Å³/atom) = 14.28